! Pm4Ho3Mg PBE relaxed; values from VASP
&SYSTEM
  ibrav = 0, nat = 8, ntyp = 3
/
ATOMIC_SPECIES
Pm 145.00 Pm.upf
Ho 164.93 Ho.upf
Mg 24.30 Mg.upf
CELL_PARAMETERS angstrom
13.940 -1.818 0.000
13.940 1.818 0.000
-0.271 0.000 5.255
ATOMIC_POSITIONS crystal
Pm 0.096 0.096 0.201
Pm 0.217 0.217 0.247
Pm 0.783 0.783 0.753
Pm 0.904 0.904 0.799
Ho 0.348 0.348 0.282
Ho 0.500 0.500 0.000
Ho 0.652 0.652 0.718
Mg 0.000 0.000 0.500
! **Calculated total energy**: -4.11 eV/atom
! **Offset from the most stable computed form**: 186.3 meV/atom
! **ΔH_f (0 K)**: 0.18 eV/atom
! **Magnetic moment**: 0.0 μB per formula unit

! InPd2S PBE relaxed; values from VASP
&SYSTEM
  ibrav = 0, nat = 8, ntyp = 3
/
ATOMIC_SPECIES
In 114.82 In.upf
Pd 106.42 Pd.upf
S 32.06 S.upf
CELL_PARAMETERS angstrom
-2.387 2.387 7.424
2.387 -2.387 7.424
2.387 2.387 -7.424
ATOMIC_POSITIONS crystal
In 0.000 0.000 0.000
In 0.750 0.250 0.500
Pd 0.218 0.625 0.093
Pd 0.375 0.468 0.593
Pd 0.532 0.125 0.907
Pd 0.875 0.782 0.407
S 0.250 0.750 0.500
S 0.500 0.500 0.000
! **Calculated total energy**: -4.56 eV/atom
! **Magnetic moment**: 0.0 μB per formula unit
! **Uncorrected formation energy**: -0.243 eV/atom

! LaWCl PBE relaxed; values from VASP
&SYSTEM
  ibrav = 0, nat = 3, ntyp = 3
/
ATOMIC_SPECIES
La 138.91 La.upf
W 183.84 W.upf
Cl 35.45 Cl.upf
CELL_PARAMETERS angstrom
3.112 0.000 0.000
-1.556 2.695 0.000
0.000 0.000 7.502
ATOMIC_POSITIONS crystal
La 0.000 0.000 0.000
W 0.667 0.333 0.373
Cl 0.333 0.667 0.620
! **Calculated total energy**: -6.23 eV/atom
! **Offset from the most stable computed form**: 44.9 meV/atom
! **Magnetic moment**: 0.0 μB per formula unit
! **Uncorrected formation energy**: 0.343 eV/atom

! NaInPd3 PBE relaxed; values from VASP
&SYSTEM
  ibrav = 0, nat = 10, ntyp = 3
/
ATOMIC_SPECIES
Na 22.99 Na.upf
In 114.82 In.upf
Pd 106.42 Pd.upf
CELL_PARAMETERS angstrom
2.817 -6.771 0.000
2.817 6.771 0.000
0.000 0.000 5.096
ATOMIC_POSITIONS crystal
Na 0.068 0.932 0.750
Na 0.932 0.068 0.250
In 0.319 0.681 0.250
In 0.681 0.319 0.750
Pd 0.102 0.412 0.750
Pd 0.412 0.102 0.250
Pd 0.500 0.500 0.000
Pd 0.500 0.500 0.500
Pd 0.588 0.898 0.750
Pd 0.898 0.588 0.250
! **Calculated total energy**: -4.20 eV/atom
! **Offset from the most stable computed form**: 23.9 meV/atom
! **ΔH_f (0 K)**: -0.27 eV/atom
! **Magnetic moment**: 0.0 μB per formula unit

! InFeCu2 PBE relaxed; values from VASP
&SYSTEM
  ibrav = 0, nat = 4, ntyp = 3
/
ATOMIC_SPECIES
In 114.82 In.upf
Fe 55.84 Fe.upf
Cu 63.55 Cu.upf
CELL_PARAMETERS angstrom
-1.997 1.997 3.605
1.997 -1.997 3.605
1.997 1.997 -3.605
ATOMIC_POSITIONS crystal
In 0.000 0.000 0.000
Fe 0.750 0.250 0.500
Cu 0.250 0.750 0.500
Cu 0.500 0.500 0.000
! **Calculated total energy**: -4.64 eV/atom
! **ΔH_f (0 K)**: 0.21 eV/atom
! **Magnetic moment**: 2.5 μB per formula unit

! ZnFe2NiC PBE relaxed; values from VASP
&SYSTEM
  ibrav = 0, nat = 5, ntyp = 4
/
ATOMIC_SPECIES
Zn 65.41 Zn.upf
Fe 55.84 Fe.upf
Ni 58.69 Ni.upf
C 12.01 C.upf
CELL_PARAMETERS angstrom
3.753 0.000 0.000
0.000 3.753 0.000
0.000 0.000 3.829
ATOMIC_POSITIONS crystal
Zn 0.000 0.000 0.000
Fe 0.000 0.500 0.500
Fe 0.500 0.000 0.500
Ni 0.500 0.500 0.000
C 0.500 0.500 0.500
! **Calculated total energy**: -6.63 eV/atom
! **ΔH_f (0 K)**: 0.01 eV/atom
! **Magnetic moment**: 3.1 μB per formula unit

! ZrSb2IF PBE relaxed; values from VASP
&SYSTEM
  ibrav = 0, nat = 5, ntyp = 4
/
ATOMIC_SPECIES
Zr 91.22 Zr.upf
Sb 121.76 Sb.upf
I 126.90 I.upf
F 19.00 F.upf
CELL_PARAMETERS angstrom
4.663 0.000 0.000
0.000 4.663 0.000
0.000 0.000 5.662
ATOMIC_POSITIONS crystal
Zr 0.000 0.000 0.000
Sb 0.000 0.500 0.500
Sb 0.500 0.000 0.500
I 0.500 0.500 0.000
F 0.500 0.500 0.500
! **Calculated total energy**: -4.18 eV/atom
! **Offset from the most stable computed form**: 0.0 meV/atom
! **Magnetic moment**: 0.0 μB per formula unit
! **Uncorrected formation energy**: -0.141 eV/atom

! PmGe6S8 PBE relaxed; values from VASP
&SYSTEM
  ibrav = 0, nat = 15, ntyp = 3
/
ATOMIC_SPECIES
Pm 145.00 Pm.upf
Ge 72.64 Ge.upf
S 32.06 S.upf
CELL_PARAMETERS angstrom
4.655 2.688 5.016
-4.655 2.688 5.016
0.000 -5.375 5.016
ATOMIC_POSITIONS crystal
Pm 0.000 0.000 0.000
Ge 0.135 0.599 0.361
Ge 0.361 0.135 0.599
Ge 0.401 0.639 0.865
Ge 0.599 0.361 0.135
Ge 0.639 0.865 0.401
Ge 0.865 0.401 0.639
S 0.136 0.329 0.799
S 0.201 0.864 0.671
S 0.285 0.285 0.285
S 0.329 0.799 0.136
S 0.671 0.201 0.864
S 0.715 0.715 0.715
S 0.799 0.136 0.329
S 0.864 0.671 0.201
! **Calculated total energy**: -4.82 eV/atom
! **Magnetic moment**: 0.0 μB per formula unit
! **Uncorrected formation energy**: -0.454 eV/atom

! UH2Cl2 PBE relaxed; values from VASP
&SYSTEM
  ibrav = 0, nat = 5, ntyp = 3
/
ATOMIC_SPECIES
U 238.03 U.upf
H 1.01 H.upf
Cl 35.45 Cl.upf
CELL_PARAMETERS angstrom
1.822 1.052 7.389
-1.822 1.052 7.389
0.000 -2.103 7.389
ATOMIC_POSITIONS crystal
U 0.000 0.000 0.000
H 0.355 0.355 0.355
H 0.645 0.645 0.645
Cl 0.243 0.243 0.243
Cl 0.757 0.757 0.757
! **Calculated total energy**: -5.31 eV/atom
! **Magnetic moment**: 2.0 μB per formula unit

! CrAgPt6 PBE relaxed; values from VASP
&SYSTEM
  ibrav = 0, nat = 8, ntyp = 3
/
ATOMIC_SPECIES
Cr 52.00 Cr.upf
Ag 107.87 Ag.upf
Pt 195.08 Pt.upf
CELL_PARAMETERS angstrom
3.963 0.000 0.000
0.000 3.963 0.000
0.000 0.000 7.880
ATOMIC_POSITIONS crystal
Cr 0.000 0.000 0.000
Ag 0.000 0.000 0.500
Pt 0.000 0.500 0.238
Pt 0.000 0.500 0.762
Pt 0.500 0.000 0.238
Pt 0.500 0.000 0.762
Pt 0.500 0.500 0.000
Pt 0.500 0.500 0.500
! **Calculated total energy**: -6.22 eV/atom
! **ΔH_f (0 K)**: -0.13 eV/atom
! **Magnetic moment**: 1.8 μB per formula unit